Entry 1:
Zr2Os2Au (GGA-PBE, relaxed); total moment = 0.000 μB per atom; SG = No. 127; calculated formation energy = -0.174 eV/atom; polymorph energy (0 for the lowest one) = 0 meV per atom
1.0
-6.542 -3.521 -1.050
3.645 -6.490 -0.947
-0.204 -0.589 3.246
Os Zr Au
4 4 2
Direct
0.365 0.865 0.000 Os
0.135 0.365 0.000 Os
0.635 0.135 0.000 Os
0.865 0.635 0.000 Os
0.663 0.837 0.500 Zr
0.337 0.163 0.500 Zr
0.837 0.337 0.500 Zr
0.163 0.663 0.500 Zr
0.000 0.000 0.000 Au
0.500 0.500 0.000 Au

***

Entry 2:
ZrOsAu2 (GGA-PBE, relaxed); total moment = 0.000 μB per atom; SG = No. 139; calculated formation energy = -0.155 eV/atom; polymorph energy (0 for the lowest one) = 30 meV per atom
1.0
-3.130 -3.125 -2.822
2.101 -1.847 -4.438
1.491 0.249 5.024
Os Zr Au
1 1 2
Direct
0.750 0.250 0.500 Os
0.250 0.750 0.500 Zr
0.500 0.500 0.000 Au
0.000 0.000 0.000 Au

***

Entry 3:
ZrOs2Au (GGA-PBE, relaxed); total moment = 0.000 μB per atom; SG = No. 8; calculated formation energy = 0.080 eV/atom; polymorph energy (0 for the lowest one) = 136 meV per atom
1.0
-2.862 -3.863 -1.342
-0.546 -3.761 -3.235
2.121 -3.599 2.400
Os Au Zr
2 1 1
Direct
0.740 0.740 0.784 Os
0.006 0.006 0.966 Os
0.255 0.255 0.254 Au
0.499 0.499 0.497 Zr

***

Entry 4:
ZrOs2Au (GGA-PBE, relaxed); total moment = 0.064 μB per atom; SG = No. 99; calculated formation energy = 0.004 eV/atom; polymorph energy (0 for the lowest one) = 60 meV per atom
1.0
2.861 0.001 0.000
-0.001 2.861 0.000
0.000 0.000 8.298
Au Os Zr
1 2 1
Direct
0.500 0.500 0.762 Au
0.500 0.500 0.223 Os
0.000 0.000 0.025 Os
0.000 0.000 0.490 Zr

***

Entry 5:
Zr2Os2Au (GGA-PBE, relaxed); total moment = 0.000 μB per atom; SG = No. 127; calculated formation energy = 0.066 eV/atom; polymorph energy (0 for the lowest one) = 240 meV per atom
1.0
-7.096 -3.276 -0.819
3.288 -6.268 -3.415
0.302 -1.343 2.756
Zr Os Au
4 4 2
Direct
0.349 0.849 0.000 Zr
0.651 0.151 0.000 Zr
0.849 0.651 0.000 Zr
0.151 0.349 0.000 Zr
0.856 0.356 0.500 Os
0.356 0.144 0.500 Os
0.144 0.644 0.500 Os
0.644 0.856 0.500 Os
0.500 0.500 0.000 Au
0.000 0.000 0.000 Au

***

Entry 6:
ZrOsAu2 (GGA-PBE, relaxed); total moment = 0.008 μB per atom; SG = No. 166; calculated formation energy = 0.280 eV/atom; polymorph energy (0 for the lowest one) = 465 meV per atom
1.0
9.903 0.008 0.005
9.481 2.860 0.005
9.481 1.403 2.493
Au Os Zr
2 1 1
Direct
0.503 0.503 0.503 Au
0.997 0.997 0.997 Au
0.250 0.250 0.250 Os
0.750 0.750 0.750 Zr

***

Entry 7:
ZrOs2Au (GGA-PBE, relaxed); total moment = 0.000 μB per atom; SG = No. 139; calculated formation energy = 0.144 eV/atom; polymorph energy (0 for the lowest one) = 200 meV per atom
1.0
5.003 -0.006 0.000
1.749 4.687 0.000
-3.376 -2.341 2.855
Os Au Zr
2 1 1
Direct
0.500 0.500 0.000 Os
0.000 0.000 0.000 Os
0.750 0.250 0.500 Au
0.250 0.750 0.500 Zr

***

Entry 8:
ZrOs2Au (GGA-PBE, relaxed); total moment = 0.000 μB per atom; SG = No. 122; calculated formation energy = 0.440 eV/atom; polymorph energy (0 for the lowest one) = 496 meV per atom
1.0
-1.818 -1.573 -3.216
-0.243 -3.544 1.871
-9.496 -0.089 2.905
Os Au Zr
4 2 2
Direct
0.875 0.952 0.750 Os
0.375 0.298 0.750 Os
0.702 0.125 0.250 Os
0.048 0.625 0.250 Os
0.750 0.250 0.500 Au
0.000 0.000 0.000 Au
0.500 0.500 0.000 Zr
0.250 0.750 0.500 Zr